## Pr2NdOsC2 (PBE)

Data for Pr2NdOsC2 after structural relaxation.

Cell and atoms, written as extended XYZ:
```
12
Lattice="5.802 0.000 0.000 0.000 11.447 0.000 0.000 0.000 3.941" Properties=species:S:1:pos:R:3 pbc="T T T"
Pr 0.214 2.355 0.000
Pr 2.686 8.079 1.971
Pr 3.115 3.368 1.971
Pr 5.587 9.091 0.000
Nd 0.000 5.723 1.971
Nd 2.901 0.000 0.000
Os 0.000 0.000 1.971
Os 2.901 5.723 0.000
C 1.396 6.971 0.000
C 1.504 1.248 1.971
C 4.297 10.199 1.971
C 4.405 4.475 0.000
```

Properties
The value obtained for the total magnetization is 0.00 Bohr magnetons per cell. The energy of formation from the pure elements comes out at -0.0172 eV per atom. The final energy comes out at -7.351 eV/atom.

## PrNd2OsC2 (PBE)

Data for PrNd2OsC2 after structural relaxation.

Cell and atoms, written as extended XYZ:
```
12
Lattice="5.792 0.000 0.000 0.000 11.406 0.000 0.000 0.000 3.938" Properties=species:S:1:pos:R:3 pbc="T T T"
Pr 0.000 0.000 0.000
Pr 2.896 5.703 1.969
Nd 0.189 3.367 1.969
Nd 2.707 9.070 0.000
Nd 3.085 2.336 0.000
Nd 5.603 8.039 1.969
Os 0.000 5.703 0.000
Os 2.896 0.000 1.969
C 1.422 10.116 1.969
C 1.474 4.413 0.000
C 4.318 6.993 0.000
C 4.370 1.290 1.969
```

Properties
The value obtained for the total magnetization is 0.00 Bohr magnetons per cell. The energy of formation from the pure elements comes out at -0.0413 eV per atom. The final energy comes out at -7.373 eV/atom.

## NdSiOs2C (PBE)

Data for NdSiOs2C after structural relaxation.

Cell and atoms, written as extended XYZ:
```
10
Lattice="1.989 -5.566 0.000 1.989 5.566 0.000 0.000 0.000 7.202" Properties=species:S:1:pos:R:3 pbc="T T T"
Nd 1.989 5.018 5.401
Nd 1.989 -5.018 1.800
Si 1.989 3.009 1.800
Si 1.989 -3.009 5.401
Os 1.989 1.848 4.032
Os 1.989 1.848 6.770
Os 1.989 -1.848 0.431
Os 1.989 -1.848 3.170
C 1.989 0.000 0.000
C 1.989 0.000 3.601
```

Properties
The uncorrected formation energy comes out at -2.39 eV per formula unit. The value obtained for the total magnetization is 0.00 Bohr magnetons per cell. The final energy comes out at -8.852 eV/atom.

## Tb2NdOsC2 (PBE)

Data for Tb2NdOsC2 after structural relaxation.

Cell and atoms, written as extended XYZ:
```
12
Lattice="5.688 0.000 0.000 0.000 11.118 0.000 0.000 0.000 3.819" Properties=species:S:1:pos:R:3 pbc="T T T"
Tb 0.175 2.268 0.000
Tb 2.669 7.827 1.909
Tb 3.019 3.291 1.909
Tb 5.513 8.850 0.000
Nd 0.000 5.559 1.909
Nd 2.844 0.000 0.000
Os 0.000 0.000 1.909
Os 2.844 5.559 0.000
C 1.400 6.920 0.000
C 1.444 1.361 1.909
C 4.244 9.758 1.909
C 4.288 4.199 0.000
```

Properties
The value obtained for the total magnetization is 0.00 Bohr magnetons per cell. The energy of formation from the pure elements comes out at -0.1711 eV per atom. The final energy comes out at -7.455 eV/atom.

## NdTh2OsC4 (PBE)

Data for NdTh2OsC4 after structural relaxation.

Cell and atoms, written as extended XYZ:
```
16
Lattice="1.826 -6.142 0.000 1.826 6.142 0.000 0.000 0.000 12.713" Properties=species:S:1:pos:R:3 pbc="T T T"
Nd 1.826 4.998 9.534
Nd 1.826 -4.998 3.178
Th 1.826 1.627 6.890
Th 1.826 1.627 12.179
Th 1.826 -1.627 0.534
Th 1.826 -1.627 5.822
Os 1.826 4.058 3.178
Os 1.826 -4.058 9.534
C 0.000 0.000 0.000
C 0.000 0.000 6.356
C 1.826 2.887 1.673
C 1.826 2.887 4.683
C 1.826 1.097 9.534
C 1.826 -1.097 3.178
C 1.826 -2.887 8.030
C 1.826 -2.887 11.039
```

Properties
The value obtained for the total magnetization is 0.00 Bohr magnetons per cell. The energy of formation from the pure elements comes out at -0.0021 eV per atom. The final energy comes out at -8.469 eV/atom.

## NdU2OsC4 (PBE)

Data for NdU2OsC4 after structural relaxation.

Cell and atoms, written as extended XYZ:
```
16
Lattice="1.780 -5.851 0.000 1.780 5.851 0.000 0.000 0.000 11.839" Properties=species:S:1:pos:R:3 pbc="T T T"
Nd 1.780 4.639 8.879
Nd 1.780 -4.639 2.960
U 1.780 1.520 6.472
U 1.780 1.520 11.286
U 1.780 -1.520 0.553
U 1.780 -1.520 5.367
Os 1.780 4.007 2.960
Os 1.780 -4.007 8.879
C 0.000 0.000 0.000
C 0.000 0.000 5.919
C 1.780 2.852 1.344
C 1.780 2.852 4.575
C 1.780 0.775 8.879
C 1.780 -0.775 2.960
C 1.780 -2.852 7.264
C 1.780 -2.852 10.495
```

Properties
The value obtained for the total magnetization is 0.00 Bohr magnetons per cell. The energy of formation from the pure elements comes out at -0.0414 eV per atom. The final energy comes out at -9.475 eV/atom.